1.
Compound: Ba2NaHf
Source: Alexandria
Functional: PBE-GGA
Structure: optimized geometry

```
Ba2NaHf
1.0
1.780 1.028 13.632
-1.780 1.028 13.632
0.000 -2.055 13.632
Ba Na Hf
2 1 1
direct
0.080 0.080 0.080
0.920 0.920 0.920
0.500 0.500 0.500
0.000 0.000 0.000
```

## Properties
- calculated formation energy (eV/f.u.) = 2.81
- space-group type = R-3m (166)


2.
Compound: VCu2Pd4
Source: Alexandria
Functional: PBE-GGA
Structure: optimized geometry

```
VCu2Pd4
1.0
-2.312 2.312 6.104
2.312 -2.312 6.104
2.312 2.312 -6.104
V Cu Pd
1 2 4
direct
0.000 0.000 0.000
0.396 0.396 0.000
0.604 0.604 0.000
0.000 0.500 0.500
0.188 0.188 0.000
0.500 0.000 0.500
0.812 0.812 0.000
```

## Properties
- calculated formation energy (eV/f.u.) = 4.30
- space-group type = I4/mmm (139)


3.
Compound: Ba8Sr3Ca
Source: Alexandria
Functional: PBE-GGA
Structure: optimized geometry

```
Ba8Sr3Ca
1.0
-5.316 5.316 7.137
5.316 -5.316 7.137
5.316 5.316 -7.137
Ba Sr Ca
8 3 1
direct
0.109 0.109 0.738
0.229 0.229 0.487
0.258 0.771 0.000
0.371 0.371 0.262
0.629 0.891 0.000
0.742 0.742 0.513
0.771 0.258 0.000
0.891 0.629 0.000
0.250 0.750 0.500
0.500 0.500 0.000
0.750 0.250 0.500
0.000 0.000 0.000
```

## Properties
- calculated formation energy (eV/f.u.) = 4.47
- space-group type = I-42m (121)


4.
Compound: LaAl12Ni6
Source: Alexandria
Functional: PBE-GGA
Structure: optimized geometry

```
LaAl12Ni6
1.0
5.491 3.170 2.810
-5.491 3.170 2.810
0.000 -6.341 2.810
La Al Ni
1 12 6
direct
0.000 0.000 0.000
0.119 0.500 0.881
0.119 0.881 0.500
0.160 0.420 0.420
0.420 0.160 0.420
0.420 0.420 0.160
0.500 0.119 0.881
0.500 0.881 0.119
0.580 0.580 0.840
0.580 0.840 0.580
0.840 0.580 0.580
0.881 0.119 0.500
0.881 0.500 0.119
0.270 0.270 0.698
0.270 0.698 0.270
0.302 0.730 0.730
0.698 0.270 0.270
0.730 0.302 0.730
0.730 0.730 0.302
```

## Properties
- calculated formation energy (eV/f.u.) = -9.13
- space-group type = R-3m (166)


5.
Compound: EuCd2Bi
Source: Alexandria
Functional: PBE-GGA
Structure: optimized geometry

```
EuCd2Bi
1.0
0.000 3.863 3.863
3.863 0.000 3.863
3.863 3.863 0.000
Eu Cd Bi
1 2 1
direct
0.000 0.000 0.000
0.250 0.250 0.250
0.750 0.750 0.750
0.500 0.500 0.500
```

## Properties
- calculated formation energy (eV/f.u.) = -1.13
- space-group type = Fm-3m (225)


6.
Compound: AgAuN2F
Source: Alexandria
Functional: PBE-GGA
Structure: optimized geometry

```
AgAuN2F
1.0
4.157 0.000 0.000
0.000 4.157 0.000
0.000 0.000 4.271
Ag Au N F
1 1 2 1
direct
0.000 0.000 0.000
0.500 0.500 0.500
0.000 0.500 0.000
0.500 0.000 0.000
0.000 0.000 0.500
```

## Properties
- energy relative to the elements, uncorrected (kJ/mol of formula units) = 762
- space-group type = P4/mmm (123)


7.
Compound: ScTi2SbN
Source: Alexandria
Functional: PBE-GGA
Structure: optimized geometry

```
ScTi2SbN
1.0
4.143 0.000 0.000
0.000 4.143 0.000
0.000 0.000 4.630
Sc Ti Sb N
1 2 1 1
direct
0.000 0.000 0.000
0.000 0.500 0.500
0.500 0.000 0.500
0.500 0.500 0.000
0.000 0.000 0.500
```

## Properties
- energy relative to the elements, uncorrected (kJ/mol of formula units) = -462
- space-group type = P4/mmm (123)


8.
Compound: HfH2Au2
Source: Alexandria
Functional: PBE-GGA
Structure: optimized geometry

```
HfH2Au2
1.0
5.569 0.000 0.000
0.000 5.569 0.000
0.000 0.000 4.286
Hf H Au
2 4 4
direct
0.000 0.000 0.000
0.500 0.500 0.000
0.173 0.327 0.000
0.327 0.827 0.000
0.673 0.173 0.000
0.827 0.673 0.000
0.180 0.320 0.500
0.320 0.820 0.500
0.680 0.180 0.500
0.820 0.680 0.500
```

## Properties
- uncorrected energy (eV per atom) = -4.8178
- space-group type = P4/mbm (127)


9.
Compound: BaCd2IrAu
Source: Alexandria
Functional: PBE-GGA
Structure: optimized geometry

```
BaCd2IrAu
1.0
5.181 0.000 0.000
0.000 5.181 0.000
0.000 0.000 5.359
Ba Cd Ir Au
1 2 1 1
direct
0.000 0.000 0.000
0.000 0.500 0.500
0.500 0.000 0.500
0.500 0.500 0.000
0.500 0.500 0.500
```

## Properties
- calculated formation energy (eV/f.u.) = 1.27
- space-group type = P4/mmm (123)


10.
Compound: CsCaTeHAu
Source: Alexandria
Functional: PBE-GGA
Structure: optimized geometry

```
CsCaTeHAu
1.0
4.665 -2.366 0.000
4.665 2.366 0.000
-0.195 0.000 7.810
Cs Ca Te H Au
1 1 1 1 1
direct
0.000 0.000 0.000
0.327 0.327 0.419
0.670 0.670 0.618
0.322 0.322 0.142
0.012 0.012 0.521
```

## Properties
- uncorrected energy (eV per atom) = -3.0820
- space-group type = Cm (8)


11.
Compound: Na12Se3I5
Source: Alexandria
Functional: PBE-GGA
Structure: optimized geometry

```
Na12Se3I5
1.0
-8.906 8.906 8.906
8.906 -8.906 8.906
8.906 8.906 -8.906
Na Se I
48 12 20
direct
0.071 0.238 0.144
0.071 0.333 0.927
0.073 0.644 0.406
0.073 0.929 0.667
0.094 0.738 0.667
0.094 0.856 0.427
0.144 0.071 0.238
0.144 0.573 0.906
0.167 0.238 0.594
0.167 0.429 0.573
0.238 0.144 0.071
0.238 0.594 0.167
0.262 0.333 0.906
0.262 0.429 0.356
0.333 0.906 0.262
0.333 0.927 0.071
0.356 0.262 0.429
0.356 0.594 0.927
0.406 0.073 0.644
0.406 0.833 0.762
0.427 0.094 0.856
0.427 0.833 0.571
0.429 0.356 0.262
0.429 0.573 0.167
0.571 0.427 0.833
0.571 0.644 0.738
0.573 0.167 0.429
0.573 0.906 0.144
0.594 0.167 0.238
0.594 0.927 0.356
0.644 0.406 0.073
0.644 0.738 0.571
0.667 0.073 0.929
0.667 0.094 0.738
0.738 0.571 0.644
0.738 0.667 0.094
0.762 0.406 0.833
0.762 0.856 0.929
0.833 0.571 0.427
0.833 0.762 0.406
0.856 0.427 0.094
0.856 0.929 0.762
0.906 0.144 0.573
0.906 0.262 0.333
0.927 0.071 0.333
0.927 0.356 0.594
0.929 0.667 0.073
0.929 0.762 0.856
0.125 0.250 0.375
0.125 0.375 0.750
0.250 0.375 0.125
0.250 0.875 0.625
0.375 0.125 0.250
0.375 0.750 0.125
0.625 0.250 0.875
0.625 0.875 0.750
0.750 0.125 0.375
0.750 0.625 0.875
0.875 0.625 0.250
0.875 0.750 0.625
0.000 0.000 0.000
0.000 0.000 0.500
0.000 0.500 0.000
0.000 0.500 0.500
0.125 0.750 0.875
0.125 0.875 0.250
0.250 0.125 0.875
0.250 0.625 0.375
0.375 0.250 0.625
0.375 0.625 0.750
0.500 0.000 0.000
0.500 0.000 0.500
0.500 0.500 0.000
0.500 0.500 0.500
0.625 0.375 0.250
0.625 0.750 0.375
0.750 0.375 0.625
0.750 0.875 0.125
0.875 0.125 0.750
0.875 0.250 0.125
```

## Properties
- energy relative to the elements, uncorrected (kJ/mol of formula units) = -1873
- space-group type = Ia-3d (230)


12.
Compound: Mn2NbCo9
Source: Alexandria
Functional: PBE-GGA
Structure: optimized geometry

```
Mn2NbCo9
1.0
2.350 1.357 7.726
-2.350 1.357 7.726
0.000 -2.713 7.726
Mn Nb Co
2 1 9
direct
0.143 0.143 0.143
0.857 0.857 0.857
0.000 0.000 0.000
0.078 0.589 0.589
0.335 0.335 0.335
0.411 0.411 0.922
0.411 0.922 0.411
0.500 0.500 0.500
0.589 0.078 0.589
0.589 0.589 0.078
0.665 0.665 0.665
0.922 0.411 0.411
```

## Properties
- calculated formation energy (eV/f.u.) = 0.63
- space-group type = R-3m (166)


no.,ρ (g/cm³),V (A^3/atom)
1,5.28,37.4
2,7.68,18.6
3,2.89,67.2
4,4.61,15.5
5,8.44,28.8
6,7.92,14.8
7,5.78,15.9
8,14.35,13.3
9,8.67,28.8
10,4.80,34.5
11,2.70,35.3
12,8.24,12.3